(1)
Here is a relaxed Rh3BrN crystal from Alexandria via LeMat-Bulk. Energies are from PBE-GGA.

Cell lengths 4.1775, 4.1775, 4.1775 Å; angles 90.00, 90.00, 90.00 degrees
Each line ends with the local moment (μB).
Sites, in units of the cell vectors:
Rh 0.0000 0.5000 0.0000  0.39
Rh 0.0000 0.0000 0.5000  0.29
Rh 0.5000 0.0000 0.0000  0.31
Br 0.5000 0.5000 0.5000  0.06
N 0.0000 0.0000 0.0000  -0.01

- raw total energy (eV/atom) = -5.791
- energy relative to the lowest polymorph listed for this composition (kJ per mole of atoms) = 0.0
- calculated volume (Å³/cell) = 73

=====

(2)
Here is a relaxed Th2NpRh9 crystal from Alexandria via LeMat-Bulk. Energies are from PBE-GGA.

Cell lengths 4.0987, 4.0987, 12.2781 Å; angles 90.00, 90.00, 90.00 degrees
Each line ends with the local moment (μB).
Sites, in units of the cell vectors:
Th 0.0000 0.0000 0.3317  0.01
Th 0.0000 0.0000 0.6683  0.01
Np 0.0000 0.0000 0.0000  2.12
Rh 0.5000 0.5000 0.0000  -0.26
Rh 0.5000 0.5000 0.3287  -0.03
Rh 0.5000 0.5000 0.6713  -0.03
Rh 0.5000 0.0000 0.1541  -0.22
Rh 0.5000 0.0000 0.5000  0.01
Rh 0.5000 0.0000 0.8459  -0.22
Rh 0.0000 0.5000 0.1541  -0.22
Rh 0.0000 0.5000 0.5000  0.01
Rh 0.0000 0.5000 0.8459  -0.22

- raw total energy (eV/atom) = -8.451
- DFT formation energy (eV per formula unit) = -7.47
- calculated volume (Å³/cell) = 206

=====

(3)
Here is a relaxed Ho4SiRh3 crystal from Alexandria via LeMat-Bulk. Energies are from PBE-GGA.

Cell lengths 3.8566, 4.1733, 10.5725 Å; angles 90.00, 90.00, 90.00 degrees
Sites, in units of the cell vectors:
Si 0.5000 0.5000 0.0695
Rh 0.0000 0.5000 0.5867
Rh 0.0000 0.0000 0.4115
Rh 0.5000 0.0000 0.9320
Ho 0.5000 0.5000 0.3624
Ho 0.0000 0.5000 0.8536
Ho 0.0000 0.0000 0.1442
Ho 0.5000 0.0000 0.6402

- raw total energy (eV/atom) = -6.570
- calculated volume (Å³/cell) = 170

=====

(4)
Here is a relaxed Ac2NdNi crystal from Alexandria via LeMat-Bulk. Energies are from PBE-GGA.

Cell lengths 3.9587, 3.9587, 11.0869 Å; angles 79.72, 79.72, 60.00 degrees
Each line ends with the local moment (μB).
Sites, in units of the cell vectors:
Ni 0.5000 0.5000 0.5000  0.01
Ac 0.1122 0.1122 0.6634  0.02
Ac 0.8878 0.8878 0.3366  0.02
Nd 0.0000 0.0000 0.0000  0.17

- raw total energy (eV/atom) = -4.561
- DFT formation energy (eV per formula unit) = 0.52
- energy relative to the lowest polymorph listed for this composition (kJ per mole of atoms) = 25.0
- calculated volume (Å³/cell) = 147

=====

Number 1: size of the total moment 1.0 Bohr magnetons per cell. Number 2: size of the total moment 1.0 Bohr magnetons per cell. Number 3: size of the total moment 0.0 Bohr magnetons per cell. Number 4: size of the total moment 0.5 Bohr magnetons per cell.